Compound: Tb2Ho6Se3
Source: Alexandria via LeMat-Bulk
Functional: PBE-GGA
Structure: optimized geometry

abc: 25.2472 25.2472 25.2472
angles: 8.57 8.57 8.57
Atoms (fractional coordinates):
Tb 0.0559 0.0559 0.0559
Tb 0.9441 0.9441 0.9441
Ho 0.1423 0.1423 0.1423
Ho 0.3150 0.3150 0.3150
Ho 0.4265 0.4265 0.4265
Ho 0.5735 0.5735 0.5735
Ho 0.6850 0.6850 0.6850
Ho 0.8577 0.8577 0.8577
Se 0.2149 0.2149 0.2149
Se 0.5000 0.5000 0.5000
Se 0.7851 0.7851 0.7851

Calculated values
Uncorrected formation energy, eV per formula unit: -9.617